## one
Here is a geometry-optimized Tb2PrNi structure from Alexandria. Energies are from PBE.

**D(E_F)**: 3.94 states/eV/cell
**Total moment**: 0.000 μB per formula unit
**V**: 107.34 Å³/cell

Cell: 3.470 3.470 8.916 Å, 90.00 90.00 90.00°
Space group P4/mmm (No. 123)
Inequivalent atoms, fractional coordinates:
Tb 0.000 0.000 0.180 (multiplicity 2)
Pr 0.500 0.500 0.500 (multiplicity 1)
Ni 0.500 0.500 0.000 (multiplicity 1)

## two
Here is a geometry-optimized Tb2PrNi structure from Alexandria. Energies are from PBE.

**D(E_F)**: 16.74 states/eV/cell
**Total moment**: 0.000 μB per formula unit
**V**: 436.63 Å³/cell

Cell: 6.951 9.707 6.471 Å, 90.00 90.00 90.00°
Space group Pnma (No. 62)
Inequivalent atoms, fractional coordinates:
Tb 0.176 0.067 0.175 (multiplicity 8)
Pr 0.033 0.250 0.640 (multiplicity 4)
Ni 0.111 0.750 0.928 (multiplicity 4)

Least stable of them? one.

## one
Here is a geometry-optimized TbPrNi2 structure from Alexandria. Energies are from PBE.

**D(E_F)**: 18.16 states/eV/cell
**Total moment**: 0.000 μB per formula unit
**V**: 330.89 Å³/cell

Cell: 6.917 6.917 6.917 Å, 90.00 90.00 90.00°
Space group Fm-3m (No. 225)
Inequivalent atoms, fractional coordinates:
Tb 0.000 0.000 0.000 (multiplicity 4)
Pr 0.000 0.000 0.500 (multiplicity 4)
Ni 0.250 0.250 0.250 (multiplicity 8)

## two
Here is a geometry-optimized TbPrNi2 structure from Alexandria. Energies are from PBE.

**D(E_F)**: 6.81 states/eV/cell
**Total moment**: 0.000 μB per formula unit
**V**: 271.95 Å³/cell

Cell: 4.0186 4.0186 19.4453 Å, 90.00 90.00 120.00°
Space group R-3m (No. 166, hexagonal axes)
Inequivalent atoms, fractional coordinates:
Tb 0.0000 0.0000 0.0000 (multiplicity 3)
Pr 0.0000 0.0000 0.5000 (multiplicity 3)
Ni 0.0000 0.0000 0.2546 (multiplicity 6)

## three
Here is a geometry-optimized TbPrNi2 structure from Alexandria. Energies are from PBE.

**D(E_F)**: 5.05 states/eV/cell
**Total moment**: 0.000 μB per formula unit
**V**: 170.67 Å³/cell

Cell: 4.288 3.815 10.432 Å, 90.00 90.00 90.00°
Space group Amm2 (No. 38)
Inequivalent atoms, fractional coordinates:
Tb 0.000 0.000 0.000 (multiplicity 2)
Pr 0.500 0.000 0.276 (multiplicity 2)
Ni 0.000 0.000 0.704 (multiplicity 2)
Ni 0.500 0.000 0.562 (multiplicity 2)

Least stable of them? two.

## one
Here is a geometry-optimized TbPr2Ni structure from Alexandria. Energies are from PBE.

**D(E_F)**: 17.57 states/eV/cell
**Total moment**: 0.001 μB per formula unit
**V**: 374.87 Å³/cell

Cell: 3.6959 3.6959 31.6896 Å, 90.00 90.00 120.00°
Space group R-3m (No. 166, hexagonal axes)
Inequivalent atoms, fractional coordinates:
Tb 0.0000 0.0000 0.0000 (multiplicity 3)
Pr 0.0000 0.0000 0.1101 (multiplicity 6)
Ni 0.0000 0.0000 0.5000 (multiplicity 3)

## two
Here is a geometry-optimized TbPr2Ni structure from Alexandria. Energies are from PBE.

**D(E_F)**: 7.44 states/eV/cell
**Total moment**: 0.005 μB per formula unit
**V**: 113.25 Å³/cell

Cell: 3.586 3.586 8.807 Å, 90.00 90.00 90.00°
Space group P4/mmm (No. 123)
Inequivalent atoms, fractional coordinates:
Tb 0.000 0.000 0.000 (multiplicity 1)
Pr 0.500 0.500 0.308 (multiplicity 2)
Ni 0.000 0.000 0.500 (multiplicity 1)

Least stable of them? one.

## one
Here is a geometry-optimized TbPr2Ni structure from Alexandria. Energies are from PBE.

**D(E_F)**: 16.48 states/eV/cell
**Total moment**: 0.000 μB per formula unit
**V**: 456.08 Å³/cell

Cell: 7.033 10.071 6.440 Å, 90.00 90.00 90.00°
Space group Pnma (No. 62)
Inequivalent atoms, fractional coordinates:
Tb 0.036 0.250 0.153 (multiplicity 4)
Pr 0.178 0.067 0.675 (multiplicity 8)
Ni 0.116 0.750 0.445 (multiplicity 4)

## two
Here is a geometry-optimized TbPr2Ni structure from Alexandria. Energies are from PBE.

**D(E_F)**: 15.19 states/eV/cell
**Total moment**: 0.000 μB per formula unit
**V**: 361.11 Å³/cell

Cell: 3.8627 3.8627 27.9469 Å, 90.00 90.00 120.00°
Space group R3m (No. 160, hexagonal axes)
Inequivalent atoms, fractional coordinates:
Tb 0.0000 0.0000 0.0000 (multiplicity 3)
Pr 0.0000 0.0000 0.5616 (multiplicity 3)
Pr 0.0000 0.0000 0.7716 (multiplicity 3)
Ni 0.0000 0.0000 0.1663 (multiplicity 3)

Least stable of them? two.

## one
Here is a geometry-optimized Tb3PrNi structure from Alexandria. Energies are from PBE.

**D(E_F)**: 10.16 states/eV/cell
**Total moment**: 0.000 μB per formula unit
**V**: 291.54 Å³/cell

Cell: 7.5369 7.5369 5.9258 Å, 90.00 90.00 120.00°
Space group P6_3/mmc (No. 194)
Inequivalent atoms, fractional coordinates:
Tb 0.1763 0.3527 0.2500 (multiplicity 6)
Pr 0.3333 0.6667 0.7500 (multiplicity 2)
Ni 0.0000 0.0000 0.0000 (multiplicity 2)

## two
Here is a geometry-optimized Tb3PrNi structure from Alexandria. Energies are from PBE.

**D(E_F)**: 10.27 states/eV/cell
**Total moment**: 0.000 μB per formula unit
**V**: 154.36 Å³/cell

Cell: 5.364 5.364 5.364 Å, 90.00 90.00 90.00°
Space group Pm-3m (No. 221)
Inequivalent atoms, fractional coordinates:
Tb 0.000 0.000 0.500 (multiplicity 3)
Pr 0.500 0.500 0.500 (multiplicity 1)
Ni 0.000 0.000 0.000 (multiplicity 1)

Least stable of them? two.

## one
Here is a geometry-optimized Pr2NiTe structure from Alexandria. Energies are from PBE.

**D(E_F)**: 13.68 states/eV/cell
**Total moment**: 0.000 μB per formula unit
**V**: 447.00 Å³/cell

Cell: 4.226 23.202 4.559 Å, 90.00 90.00 90.00°
Space group Cmcm (No. 63)
Inequivalent atoms, fractional coordinates:
Pr 0.000 0.056 0.250 (multiplicity 4)
Pr 0.000 0.339 0.250 (multiplicity 4)
Ni 0.000 0.471 0.250 (multiplicity 4)
Te 0.000 0.195 0.250 (multiplicity 4)

## two
Here is a geometry-optimized Pr2NiTe structure from Alexandria. Energies are from PBE.

**D(E_F)**: 3.46 states/eV/cell
**Total moment**: 0.000 μB per formula unit
**V**: 350.93 Å³/cell

Cell: 4.2208 4.2208 22.7451 Å, 90.00 90.00 120.00°
Space group R3m (No. 160, hexagonal axes)
Inequivalent atoms, fractional coordinates:
Pr 0.0000 0.0000 0.0000 (multiplicity 3)
Pr 0.0000 0.0000 0.1953 (multiplicity 3)
Ni 0.0000 0.0000 0.5971 (multiplicity 3)
Te 0.0000 0.0000 0.4309 (multiplicity 3)

Least stable of them? two.

## one
Here is a geometry-optimized PrThNi structure from Alexandria. Energies are from PBE.

**D(E_F)**: 3.13 states/eV/cell
**Total moment**: 0.000 μB per formula unit
**V**: 82.18 Å³/cell

Cell: 3.7954 3.7954 6.5872 Å, 90.00 90.00 120.00°
Space group P3m1 (No. 156)
Inequivalent atoms, fractional coordinates:
Pr 0.0000 0.0000 0.0000 (multiplicity 1)
Th 0.3333 0.6667 0.5431 (multiplicity 1)
Ni 0.6667 0.3333 0.2927 (multiplicity 1)

## two
Here is a geometry-optimized PrThNi structure from Alexandria. Energies are from PBE.

**D(E_F)**: 9.64 states/eV/cell
**Total moment**: 0.000 μB per formula unit
**V**: 154.73 Å³/cell

Cell: 3.611 3.611 11.863 Å, 90.00 90.00 90.00°
Space group I4mm (No. 107)
Inequivalent atoms, fractional coordinates:
Pr 0.000 0.000 0.000 (multiplicity 2)
Th 0.000 0.000 0.286 (multiplicity 2)
Ni 0.000 0.000 0.684 (multiplicity 2)

Least stable of them? one.

## one
Here is a geometry-optimized Pr2ThNi6 structure from Alexandria. Energies are from PBE.

**D(E_F)**: 16.67 states/eV/cell
**Total moment**: 0.000 μB per formula unit
**V**: 353.03 Å³/cell

Cell: 3.728 7.027 13.477 Å, 90.00 90.00 90.00°
Space group Immm (No. 71)
Inequivalent atoms, fractional coordinates:
Pr 0.000 0.000 0.153 (multiplicity 4)
Th 0.000 0.500 0.000 (multiplicity 2)
Ni 0.000 0.168 0.350 (multiplicity 8)
Ni 0.000 0.331 0.500 (multiplicity 4)

## two
Here is a geometry-optimized Pr2ThNi6 structure from Alexandria. Energies are from PBE.

**D(E_F)**: 13.40 states/eV/cell
**Total moment**: 0.002 μB per formula unit
**V**: 168.27 Å³/cell

Cell: 7.0823 7.0823 3.8737 Å, 90.00 90.00 120.00°
Space group P6/mmm (No. 191)
Inequivalent atoms, fractional coordinates:
Pr 0.3333 0.6667 0.0000 (multiplicity 2)
Th 0.0000 0.0000 0.0000 (multiplicity 1)
Ni 0.0000 0.3304 0.5000 (multiplicity 6)

Least stable of them? one.

## one
Here is a geometry-optimized PrTiNi2 structure from Alexandria. Energies are from PBE.

**D(E_F)**: 13.01 states/eV/cell
**Total moment**: 0.000 μB per formula unit
**V**: 227.72 Å³/cell

Cell: 4.2066 4.2066 14.8598 Å, 90.00 90.00 120.00°
Space group R-3m (No. 166, hexagonal axes)
Inequivalent atoms, fractional coordinates:
Pr 0.0000 0.0000 0.0000 (multiplicity 3)
Ti 0.0000 0.0000 0.5000 (multiplicity 3)
Ni 0.0000 0.0000 0.2015 (multiplicity 6)

## two
Here is a geometry-optimized PrTiNi2 structure from Alexandria. Energies are from PBE.

**D(E_F)**: 3.58 states/eV/cell
**Total moment**: 0.000 μB per formula unit
**V**: 69.15 Å³/cell

Cell: 3.138 3.138 7.024 Å, 90.00 90.00 90.00°
Space group P4/mmm (No. 123)
Inequivalent atoms, fractional coordinates:
Pr 0.000 0.000 0.000 (multiplicity 1)
Ti 0.000 0.000 0.500 (multiplicity 1)
Ni 0.500 0.500 0.316 (multiplicity 2)

Least stable of them? two.

## one
Here is a geometry-optimized Pr3TlNi structure from Alexandria. Energies are from PBE.

**D(E_F)**: 10.84 states/eV/cell
**Total moment**: 0.000 μB per formula unit
**V**: 291.50 Å³/cell

Cell: 7.8757 7.8757 5.4262 Å, 90.00 90.00 120.00°
Space group P6_3/mmc (No. 194)
Inequivalent atoms, fractional coordinates:
Pr 0.1816 0.3632 0.2500 (multiplicity 6)
Tl 0.3333 0.6667 0.7500 (multiplicity 2)
Ni 0.0000 0.0000 0.0000 (multiplicity 2)

## two
Here is a geometry-optimized Pr3TlNi structure from Alexandria. Energies are from PBE.

**D(E_F)**: 10.73 states/eV/cell
**Total moment**: 0.000 μB per formula unit
**V**: 305.35 Å³/cell

Cell: 3.971 10.714 7.433 Å, 90.00 105.07 90.00°
Space group P2_1/m (No. 11)
Inequivalent atoms, fractional coordinates:
Pr 0.066 0.250 0.112 (multiplicity 2)
Pr 0.363 0.044 0.727 (multiplicity 4)
Tl 0.248 0.750 0.505 (multiplicity 2)
Ni 0.000 0.000 0.000 (multiplicity 2)

## three
Here is a geometry-optimized Pr3TlNi structure from Alexandria. Energies are from PBE.

**D(E_F)**: 8.13 states/eV/cell
**Total moment**: 0.000 μB per formula unit
**V**: 158.34 Å³/cell

Cell: 5.410 5.410 5.410 Å, 90.00 90.00 90.00°
Space group Pm-3m (No. 221)
Inequivalent atoms, fractional coordinates:
Pr 0.000 0.000 0.500 (multiplicity 3)
Tl 0.500 0.500 0.500 (multiplicity 1)
Ni 0.000 0.000 0.000 (multiplicity 1)

Least stable of them? three.

## one
Here is a geometry-optimized PrTm3Ni8 structure from Alexandria. Energies are from PBE.

**D(E_F)**: 8.29 states/eV/cell
**Total moment**: 0.000 μB per formula unit
**V**: 185.17 Å³/cell

Cell: 5.0813 5.0813 8.2812 Å, 90.00 90.00 120.00°
Space group P3m1 (No. 156)
Inequivalent atoms, fractional coordinates:
Pr 0.0000 0.0000 0.0000 (multiplicity 1)
Tm 0.0000 0.0000 0.3766 (multiplicity 1)
Tm 0.6667 0.3333 0.4960 (multiplicity 1)
Tm 0.6667 0.3333 0.8663 (multiplicity 1)
Ni 0.9998 0.4999 0.1899 (multiplicity 3)
Ni 0.1682 0.3365 0.6797 (multiplicity 3)
Ni 0.3333 0.6667 0.4327 (multiplicity 1)
Ni 0.3333 0.6667 0.9323 (multiplicity 1)

## two
Here is a geometry-optimized PrTm3Ni8 structure from Alexandria. Energies are from PBE.

**D(E_F)**: 18.54 states/eV/cell
**Total moment**: 0.000 μB per formula unit
**V**: 552.12 Å³/cell

Cell: 5.0607 5.0607 24.8929 Å, 90.00 90.00 120.00°
Space group R3m (No. 160, hexagonal axes)
Inequivalent atoms, fractional coordinates:
Pr 0.0000 0.0000 0.0000 (multiplicity 3)
Tm 0.0000 0.0000 0.1257 (multiplicity 3)
Tm 0.0000 0.0000 0.4994 (multiplicity 3)
Tm 0.0000 0.0000 0.6231 (multiplicity 3)
Ni 0.0000 0.0000 0.3117 (multiplicity 3)
Ni 0.0000 0.0000 0.8123 (multiplicity 3)
Ni 0.0008 0.5004 0.0642 (multiplicity 9)
Ni 0.1686 0.3372 0.8939 (multiplicity 9)

Least stable of them? one.

## one
Here is a geometry-optimized PrY2Ni structure from Alexandria. Energies are from PBE.

**D(E_F)**: 18.14 states/eV/cell
**Total moment**: 0.000 μB per formula unit
**V**: 439.81 Å³/cell

Cell: 6.969 9.741 6.479 Å, 90.00 90.00 90.00°
Space group Pnma (No. 62)
Inequivalent atoms, fractional coordinates:
Pr 0.032 0.250 0.142 (multiplicity 4)
Y 0.174 0.068 0.677 (multiplicity 8)
Ni 0.113 0.750 0.433 (multiplicity 4)

## two
Here is a geometry-optimized PrY2Ni structure from Alexandria. Energies are from PBE.

**D(E_F)**: 3.89 states/eV/cell
**Total moment**: 0.000 μB per formula unit
**V**: 107.48 Å³/cell

Cell: 3.467 3.467 8.941 Å, 90.00 90.00 90.00°
Space group P4/mmm (No. 123)
Inequivalent atoms, fractional coordinates:
Pr 0.000 0.000 0.000 (multiplicity 1)
Y 0.500 0.500 0.319 (multiplicity 2)
Ni 0.000 0.000 0.500 (multiplicity 1)

Least stable of them? two.